1.
{"formula": "MgUFeTc", "functional": "PBE-GGA", "state": "optimized geometry", "lattice": [[-2.279, -3.672, -1.369], [0.353, -3.881, 2.316], [-3.515, -1.521, 2.424]], "species": ["U", "Mg", "Fe", "Tc"], "frac_coords": [[0.500, 0.500, 0.500], [0.000, 0.000, 0.000], [0.250, 0.250, 0.250], [0.750, 0.750, 0.750]]}

***

2.
{"formula": "MgFeTcW", "functional": "PBE-GGA", "state": "optimized geometry", "lattice": [[-3.591, -0.688, -2.317], [-0.660, -3.843, -1.880], [-3.075, -2.648, 1.508]], "species": ["Tc", "Mg", "Fe", "W"], "frac_coords": [[0.000, 0.000, 0.000], [0.750, 0.750, 0.750], [0.500, 0.500, 0.500], [0.250, 0.250, 0.250]]}

***

3.
{"formula": "YMgFeTc2", "functional": "PBE-GGA", "state": "optimized geometry", "lattice": [[-3.606, -2.653, -0.507], [2.857, -4.007, 0.647], [-0.755, 0.178, 4.438]], "species": ["Y", "Mg", "Tc", "Tc", "Fe"], "frac_coords": [[0.000, 0.500, 0.000], [0.500, 0.500, 0.500], [0.500, 0.000, 0.000], [0.000, 0.000, 0.500], [0.000, 0.000, 0.000]]}

***

4.
{"formula": "Mg2ZnFeTc", "functional": "PBE-GGA", "state": "optimized geometry", "lattice": [[5.086, 0.000, 0.000], [0.000, 4.362, 0.000], [0.000, 0.000, 5.086]], "species": ["Mg", "Mg", "Fe", "Zn", "Tc"], "frac_coords": [[0.500, 0.000, 0.000], [0.000, 0.000, 0.500], [0.000, 0.500, 0.000], [0.500, 0.500, 0.500], [0.000, 0.000, 0.000]]}

***

Number 1: calculated volume 16.47 A^3/atom, electronic total energy -7.792 eV per atom, ΔE_f 0.136 eV per atom. Number 2: calculated volume 14.34 A^3/atom, electronic total energy -8.208 eV per atom, ΔE_f 0.136 eV per atom. Number 3: calculated volume 20.15 A^3/atom, electronic total energy -6.763 eV per atom, ΔE_f 0.687 eV per atom. Number 4: calculated volume 22.57 A^3/atom, electronic total energy -3.725 eV per atom, ΔE_f 0.933 eV per atom.